NaAcCd10 (PBE-GGA, optimized geometry); ρ = 7.44 g/cm³; raw total energy = -0.09896 Ry/atom; calculated formation energy = -0.13 eV per atom
1.0
4.925 0.000 0.000
0.000 5.918 0.000
0.000 0.000 10.523
Na Ac Cd
1 1 10
Cartesian
0.000 0.000 0.000
0.000 2.959 5.261
0.000 0.000 3.298
0.000 0.000 7.224
0.000 2.959 1.627
0.000 2.959 8.896
2.462 0.000 5.261
2.462 1.525 2.736
2.462 1.525 7.786
2.462 2.959 0.000
2.462 4.394 2.736
2.462 4.394 7.786


PrScTlZn (PBE-GGA, optimized geometry); ρ = 7.59 g/cm³; raw total energy = -0.29192 Ry/atom; calculated formation energy = -0.28 eV per atom
1.0
0.000 3.681 3.681
3.681 0.000 3.681
3.681 3.681 0.000
Pr Sc Tl Zn
1 1 1 1
Cartesian
0.000 0.000 0.000
3.681 3.681 3.681
1.840 1.840 1.840
5.521 5.521 5.521


PmNi2Pt (PBE-GGA, optimized geometry); E above lowest polymorph = 2.32 kcal/mol of atoms; ρ = 11.72 g/cm³; raw total energy = -0.44154 Ry/atom; calculated formation energy = -0.42 eV per atom
1.0
4.101 0.000 0.000
0.000 4.101 0.000
0.000 0.000 3.853
Pm Ni Pt
1 2 1
Cartesian
0.000 0.000 0.000
0.000 2.051 1.927
2.051 0.000 1.927
2.051 2.051 0.000


YMnRu2 (PBE-GGA, optimized geometry); ρ = 8.68 g/cm³; raw total energy = -0.61345 Ry/atom; calculated formation energy = 0.20 eV per atom
1.0
-1.543 2.408 4.454
1.543 -2.408 4.454
1.543 2.408 -4.454
Y Mn Ru
1 1 2
Cartesian
0.000 0.000 0.000
0.000 0.000 4.454
1.543 0.000 2.457
0.000 2.408 1.997


PuBeBiO6 (PBE-GGA, optimized geometry); ΔE_f (raw) = -1.912 eV per atom; ρ = 8.00 g/cm³; raw total energy = -0.56266 Ry/atom
1.0
5.109 0.000 0.000
-2.554 4.424 0.000
0.000 0.000 10.245
Pu Be Bi O
2 2 2 12
Cartesian
0.000 2.950 2.561
2.554 1.475 7.684
0.000 2.950 7.684
2.554 1.475 2.561
0.000 0.000 0.000
0.000 0.000 5.123
-0.863 1.646 6.602
-1.560 2.853 8.766
0.863 1.646 8.766
-0.697 4.349 6.602
1.857 0.075 1.479
0.994 1.571 3.644
1.560 2.853 6.602
0.697 4.349 8.766
3.251 0.075 3.644
1.691 2.778 1.479
4.115 1.571 1.479
3.418 2.778 3.644


Cr4Ir (PBE-GGA, optimized geometry); E above lowest polymorph = 34.21 kcal/mol of atoms; ρ = 6.27 g/cm³; raw total energy = -0.58772 Ry/atom; calculated formation energy = 1.47 eV per atom
1.0
4.731 0.000 0.000
0.000 4.731 0.000
0.000 0.000 4.731
Cr Ir
4 1
Cartesian
0.000 0.000 0.000
0.000 2.366 2.366
2.366 0.000 2.366
2.366 2.366 0.000
2.366 2.366 2.366


SiAsPC (PBE-GGA, optimized geometry); E above lowest polymorph = 2.66 kcal/mol of atoms; ΔE_f (raw) = 0.408 eV per atom; ρ = 3.36 g/cm³; raw total energy = -0.42398 Ry/atom
1.0
4.434 -1.636 0.000
4.434 1.636 0.000
-2.135 0.000 4.979
Si As P C
1 1 1 1
Cartesian
0.000 0.000 0.000
5.864 0.000 2.699
2.062 0.000 1.165
3.658 0.000 0.461